Arrangement w

VASP calculation (PBE) on a geometry-optimized Hf2TcRu structure.

For the calculated volume, the calculation gives 296.1 Å³ per cell.

It has space group I-42d (No. 122), with a = 7.115 Å, b = 7.115 Å, c = 5.849 Å, α = 90.00°, β = 90.00° and γ = 90.00°. The asymmetric unit holds Hf at (0.243, 0.250, 0.125), Tc at (0.000, 0.000, 0.500) and Ru at (0.000, 0.000, 0.000).

Arrangement x

VASP calculation (PBE) on a geometry-optimized Hf2TcRu structure.

For the calculated volume, the calculation gives 274.3 Å³ per cell.

It has space group Fm-3m (No. 225), with a = 6.497 Å, b = 6.497 Å, c = 6.497 Å, α = 90.00°, β = 90.00° and γ = 90.00°. The asymmetric unit holds Hf at (0.250, 0.250, 0.250), Tc at (0.000, 0.000, 0.000) and Ru at (0.000, 0.000, 0.500).

Question: which arrangement is favored energetically? Ranking from most to least stable: arrangement x, arrangement w.

Arrangement w

VASP calculation (PBE) on a geometry-optimized HfTc3Ru structure.

For the calculated volume, the calculation gives 98.1 Å³ per cell.

It has space group Pm-3m (No. 221), with a = 4.612 Å, b = 4.612 Å, c = 4.612 Å, α = 90.00°, β = 90.00° and γ = 90.00°. The asymmetric unit holds Hf at (0.000, 0.000, 0.000), Tc at (0.000, 0.500, 0.500) and Ru at (0.500, 0.500, 0.500).

Arrangement x

VASP calculation (PBE) on a geometry-optimized HfTc3Ru structure.

For the calculated volume, the calculation gives 99.2 Å³ per cell.

It has space group Pm-3m (No. 221), with a = 4.630 Å, b = 4.630 Å, c = 4.630 Å, α = 90.00°, β = 90.00° and γ = 90.00°. The asymmetric unit holds Hf at (0.000, 0.000, 0.000), Tc at (0.000, 0.000, 0.500) and Ru at (0.500, 0.500, 0.500).

Question: which arrangement is favored energetically? Ranking from most to least stable: arrangement w, arrangement x.

Arrangement w

VASP calculation (PBE) on a geometry-optimized HfTcRu2 structure.

For the calculated volume, the calculation gives 373.1 Å³ per cell.

It has space group I-42d (No. 122), with a = 5.759 Å, b = 5.759 Å, c = 11.249 Å, α = 90.00°, β = 90.00° and γ = 90.00°. The asymmetric unit holds Hf at (0.000, 0.000, 0.000), Tc at (0.000, 0.000, 0.500) and Ru at (0.216, 0.250, 0.625).

Arrangement x

VASP calculation (PBE) on a geometry-optimized HfTcRu2 structure.

For the calculated volume, the calculation gives 254.5 Å³ per cell.

It has space group Fm-3m (No. 225), with a = 6.338 Å, b = 6.338 Å, c = 6.338 Å, α = 90.00°, β = 90.00° and γ = 90.00°. The asymmetric unit holds Hf at (0.000, 0.000, 0.000), Tc at (0.000, 0.000, 0.500) and Ru at (0.250, 0.250, 0.250).

Question: which arrangement is favored energetically? Ranking from most to least stable: arrangement x, arrangement w.

Arrangement w

VASP calculation (PBE) on a geometry-optimized HfTeRu3 structure.

For the calculated volume, the calculation gives 104.7 Å³ per cell.

It has space group Pm-3m (No. 221), with a = 4.714 Å, b = 4.714 Å, c = 4.714 Å, α = 90.00°, β = 90.00° and γ = 90.00°. The asymmetric unit holds Hf at (0.000, 0.000, 0.000), Te at (0.500, 0.500, 0.500) and Ru at (0.000, 0.500, 0.500).

Arrangement x

VASP calculation (PBE) on a geometry-optimized HfTeRu3 structure.

For the calculated volume, the calculation gives 111.5 Å³ per cell.

It has space group Pm-3m (No. 221), with a = 4.814 Å, b = 4.814 Å, c = 4.814 Å, α = 90.00°, β = 90.00° and γ = 90.00°. The asymmetric unit holds Hf at (0.000, 0.000, 0.000), Te at (0.500, 0.500, 0.500) and Ru at (0.000, 0.000, 0.500).

Question: which arrangement is favored energetically? Ranking from most to least stable: arrangement w, arrangement x.